{"formula": "La4Tb2Co", "functional": "PBE", "state": "optimized geometry", "magnetic_moment_mub_per_fu": 0.002, "final_energy_ev_per_cell": -34.44, "mass_density_g_cm3": 6.37, "delta_e_f_ev_per_atom": 0.234, "lattice": [[5.183, 0.000, 0.000], [0.000, 5.183, 0.000], [2.592, 2.592, 9.052]], "species": ["Tb", "Tb", "La", "La", "La", "La", "Co"], "frac_coords": [[0.658, 0.658, 0.683], [0.342, 0.342, 0.317], [0.160, 0.160, 0.680], [0.840, 0.840, 0.320], [0.000, 0.500, 0.000], [0.500, 0.000, 0.000], [0.000, 0.000, 0.000]]}